[1]
Computed, not measured: a relaxed InWSe2 crystal at the GGA-PBE level of DFT.

extended XYZ file:
```
4
Lattice="-1.6017 1.6329 8.8551 1.6017 -1.6329 8.8551 1.6017 1.6329 -8.8551" Properties=species:S:1:pos:R:3 pbc="T T T"
In 0.0000 0.0000 0.0000
W 0.0000 1.6329 4.5214
Se 1.6017 0.0000 5.8128
Se 0.0000 0.0000 11.4812
```

Summary:
**Symmetry**: Imm2
**Magnetization**: 0.00 μB/atom
**Raw formation energy**: -0.017 eV per atom
**Crystal system**: orthorhombic
**Total energy**: -5.68 eV/atom

***

[2]
Computed, not measured: a relaxed InWSe3 crystal at the GGA-PBE level of DFT.

extended XYZ file:
```
5
Lattice="5.0108 0.0000 0.0000 0.0000 5.0108 0.0000 0.0000 0.0000 5.0108" Properties=species:S:1:pos:R:3 pbc="T T T"
In 0.0000 0.0000 0.0000
W 2.5054 2.5054 2.5054
Se 0.0000 2.5054 2.5054
Se 2.5054 0.0000 2.5054
Se 2.5054 2.5054 0.0000
```

Summary:
**Symmetry**: Pm-3m
**Magnetization**: 0.00 μB/atom
**Raw formation energy**: 0.035 eV per atom
**Crystal system**: cubic
**Total energy**: -5.19 eV/atom
**Excess energy over the best structure of this formula in the dataset**: 0 meV/atom

***

[3]
Computed, not measured: a relaxed InWSe2 crystal at the GGA-PBE level of DFT.

extended XYZ file:
```
4
Lattice="0.0000 3.4058 3.4058 3.4058 0.0000 3.4058 3.4058 3.4058 0.0000" Properties=species:S:1:pos:R:3 pbc="T T T"
In 0.0000 0.0000 0.0000
W 1.7029 1.7029 1.7029
Se 3.4058 3.4058 3.4058
Se 5.1087 5.1087 5.1087
```

Summary:
**Symmetry**: F-43m
**Magnetization**: 0.32 μB/atom
**Raw formation energy**: 0.963 eV per atom
**Crystal system**: cubic
**Total energy**: -4.70 eV/atom

***

[4]
Computed, not measured: a relaxed InWSe2 crystal at the GGA-PBE level of DFT.

extended XYZ file:
```
4
Lattice="-2.0961 2.0961 4.5512 2.0961 -2.0961 4.5512 2.0961 2.0961 -4.5512" Properties=species:S:1:pos:R:3 pbc="T T T"
In 0.0000 0.0000 0.0000
W 0.0000 2.0961 2.2756
Se 2.0961 0.0000 2.2756
Se 0.0000 0.0000 4.5512
```

Summary:
**Symmetry**: I-4m2
**Magnetization**: 0.54 μB/atom
**Raw formation energy**: 0.807 eV per atom
**Crystal system**: tetragonal
**Total energy**: -4.86 eV/atom

***

[5]
Computed, not measured: a relaxed In4WSe crystal at the GGA-PBE level of DFT.

extended XYZ file:
```
6
Lattice="0.0000 4.0867 4.0867 4.0867 0.0000 4.0867 4.0867 4.0867 0.0000" Properties=species:S:1:pos:R:3 pbc="T T T"
In 1.0232 1.0232 1.0232
In 3.0635 3.0635 1.0232
In 3.0635 1.0232 3.0635
In 1.0232 3.0635 3.0635
W 4.0867 4.0867 4.0867
Se 6.1300 6.1300 6.1300
```

Summary:
**Symmetry**: F-43m
**Magnetization**: 0.00 μB/atom
**Raw formation energy**: 0.879 eV per atom
**Crystal system**: cubic
**Total energy**: -3.69 eV/atom

***

[6]
Computed, not measured: a relaxed InW4Se8 crystal at the GGA-PBE level of DFT.

extended XYZ file:
```
13
Lattice="3.3092 1.9106 8.6464 -3.3092 1.9106 8.6464 0.0000 -3.8211 8.6464" Properties=species:S:1:pos:R:3 pbc="T T T"
In 0.0000 0.0000 0.0000
W -3.3092 0.0000 12.9696
W -1.6546 0.9553 4.3232
W 1.6546 0.9553 4.3232
W 0.0000 0.0000 12.9696
Se 0.0000 0.0000 6.0501
Se -1.6510 -0.9532 14.6960
Se 0.0000 -1.9064 11.2433
Se -1.6510 0.9532 11.2433
Se 1.6510 -0.9532 14.6960
Se 0.0000 1.9064 14.6960
Se 1.6510 0.9532 11.2433
Se 0.0000 0.0000 19.8891
```

Summary:
**Symmetry**: R-3m
**Magnetization**: 0.00 μB/atom
**Raw formation energy**: -0.241 eV per atom
**Crystal system**: trigonal
**Total energy**: -6.58 eV/atom